Below is a relaxed Cs2GaCl5 crystal, with properties calculated at the PBE level.

The space group is I4mm (No. 107) and the conventional cell measures 7.727, 7.727 and 9.859 Å, with angles of 90.00, 90.00 and 90.00 degrees. The inequivalent atoms are Cs at (0.000, 0.500, 0.000), Ga at (0.000, 0.000, 0.206), Cl at (0.000, 0.000, 0.979) and Cl at (0.211, 0.211, 0.257).

For the density of states at the Fermi level, the calculation gives 0.0000 states/eV per atom. The value obtained for the magnetization is 0.000 μB per atom. The total energy is -3.35 eV per atom.